Record 1
Material: MgTaCl2
Method: DFT, PBE-GGA
State: relaxed

VASP energy	-4.76	eV per atom
E_form (uncorrected)	-475	meV per atom
excess energy over the best structure of this formula in the dataset	89	meV per atom

a b c (Å): 3.1382 3.1382 36.1242
angles (deg): 90.00 90.00 120.00
Space group R-3m (No. 166, hexagonal axes)
Symmetry-distinct sites (fractional):
Mg (0.0000, 0.0000, 0.0000)
Ta (0.0000, 0.0000, 0.5000)
Cl (0.0000, 0.0000, 0.2167)


Record 2
Material: Dy6InGa2
Method: DFT, PBE-GGA
State: relaxed

VASP energy	-4.47	eV per atom
energy of formation	-3.841	eV/f.u.

a b c (Å): 9.6550 9.6685 10.5974
angles (deg): 90.00 90.00 90.00
Space group Immm (No. 71)
Symmetry-distinct sites (fractional):
Dy (0.0000, 0.2020, 0.2401)
Dy (0.2035, 0.5000, 0.1793)
Dy (0.2217, 0.3161, 0.5000)
In (0.0000, 0.0000, 0.0000)
In (0.0000, 0.0000, 0.5000)
Ga (0.0000, 0.3526, 0.0000)
Ga (0.0000, 0.5000, 0.3793)


Record 3
Material: SrLiCdAg
Method: DFT, PBE-GGA
State: relaxed

VASP energy	-2.08	eV per atom
energy of formation	-0.938	eV/f.u.

a b c (Å): 8.3794 4.8582 5.9736
angles (deg): 90.00 118.44 90.00
Space group Cm (No. 8)
Symmetry-distinct sites (fractional):
Sr (0.0000, 0.0000, 0.0000)
Li (0.3019, 0.5000, 0.4051)
Cd (0.0066, 0.5000, 0.5206)
Ag (0.2043, 0.0000, 0.6142)


Record 4
Material: OsRu
Method: DFT, PBE-GGA
State: relaxed

VASP energy	-10.26	eV per atom
energy of formation	-0.018	eV/f.u.

a b c (Å): 9.8815 2.7383 6.4236
angles (deg): 90.00 103.68 90.00
Space group Cm (No. 8)
Symmetry-distinct sites (fractional):
Os (0.0000, 0.0000, 0.0000)
Os (0.0569, 0.0000, 0.6111)
Os (0.1661, 0.5000, 0.3319)
Ru (0.2217, 0.5000, 0.9429)
Ru (0.3349, 0.0000, 0.6665)
Ru (0.3890, 0.0000, 0.2780)


Copy entry 2 word for word.
Material: Dy6InGa2
Method: DFT, PBE-GGA
State: relaxed

VASP energy	-4.47	eV per atom
energy of formation	-3.841	eV/f.u.

a b c (Å): 9.6550 9.6685 10.5974
angles (deg): 90.00 90.00 90.00
Space group Immm (No. 71)
Symmetry-distinct sites (fractional):
Dy (0.0000, 0.2020, 0.2401)
Dy (0.2035, 0.5000, 0.1793)
Dy (0.2217, 0.3161, 0.5000)
In (0.0000, 0.0000, 0.0000)
In (0.0000, 0.0000, 0.5000)
Ga (0.0000, 0.3526, 0.0000)
Ga (0.0000, 0.5000, 0.3793)